Entry 1:
DFT (GGA-PBE) results for a geometry-optimized ScPdS3 structure.

a b c (Å): 4.6527 4.6527 4.6527
angles (deg): 90.00 90.00 90.00
Atoms (fractional coordinates):
Sc: 0.0000 0.0000 0.0000
Pd: 0.5000 0.5000 0.5000
S: 0.0000 0.5000 0.5000
S: 0.5000 0.0000 0.5000
S: 0.5000 0.5000 0.0000

Computed properties:
**Relative energy among the computed polymorphs**: 0.000 eV per atom
**Space-group type**: Pm-3m
**Formation energy from raw total energies**: -0.240 eV per atom

Entry 2:
DFT (GGA-PBE) results for a geometry-optimized Y2Er2Te3 structure.

a b c (Å): 14.1564 4.1463 7.3223
angles (deg): 90.00 101.65 90.00
Atoms (fractional coordinates):
Y: 0.1134 0.0000 0.3162
Y: 0.3866 0.5000 0.6838
Y: 0.6134 0.5000 0.3162
Y: 0.8866 0.0000 0.6838
Er: 0.1112 0.5000 0.9014
Er: 0.3888 0.0000 0.0986
Er: 0.6112 0.0000 0.9014
Er: 0.8888 0.5000 0.0986
Te: 0.0000 0.5000 0.5000
Te: 0.2321 0.0000 0.7392
Te: 0.2679 0.5000 0.2608
Te: 0.5000 0.0000 0.5000
Te: 0.7321 0.5000 0.7392
Te: 0.7679 0.0000 0.2608

Computed properties:
**Space-group type**: C2/m
**Formation energy from raw total energies**: -1.034 eV per atom

Entry 3:
DFT (GGA-PBE) results for a geometry-optimized AsPRu2 structure.

a b c (Å): 2.9623 2.9623 6.3110
angles (deg): 90.00 90.00 90.00
Atoms (fractional coordinates):
As: 0.0000 0.0000 0.0000
P: 0.0000 0.0000 0.5000
Ru: 0.5000 0.5000 0.2806
Ru: 0.5000 0.5000 0.7194

Computed properties:
**Relative energy among the computed polymorphs**: 0.138 eV per atom
**Space-group type**: P4/mmm
**Formation energy**: -0.152 eV per atom

Number 1: V 20.14 A^3/atom, raw total energy -5.0212 eV per atom, density of states at the Fermi level 1.88 states/eV per cell. Number 2: V 30.07 A^3/atom, raw total energy -5.5314 eV per atom, density of states at the Fermi level 10.18 states/eV per cell. Number 3: V 13.84 A^3/atom, raw total energy -7.3045 eV per atom, density of states at the Fermi level 1.84 states/eV per cell.